Here is an optimized crystal structure of Mn3GeH from Alexandria. Energies are from PBE.

Lattice parameters (Å, degrees): 5.0065 5.1175 4.6314 90.00 86.72 120.74
Site moments in Bohr magnetons follow the coordinates.
Positions (direct):
H: 0.3249 0.5325 0.3614  -0.01
H: 0.8039 0.7720 0.3022  -0.01
Ge: 0.6128 0.1764 0.0402  -0.03
Ge: 0.0804 0.9104 0.6979  -0.03
Mn: 0.5738 0.6569 0.0066  -1.96
Mn: 0.5808 0.9186 0.5244  1.86
Mn: 0.0991 0.6743 0.1996  1.79
Mn: 0.0974 0.4189 0.7122  -2.21
Mn: 0.0991 0.1649 0.1997  1.79
Mn: 0.5808 0.4026 0.5244  1.86

## Properties
- Volume: 10.2 Å³/atom
- E above lowest polymorph: 123 meV/atom
- Density: 7.78 g/cm3
- Symmetry: Cm, No. 8



Here is an optimized crystal structure of Mn3GeH from Alexandria. Energies are from PBE.

Lattice parameters (Å, degrees): 2.6721 4.6191 4.6191 111.52 90.00 90.00
Site moments in Bohr magnetons follow the coordinates.
Positions (direct):
H: 0.5000 0.0306 0.9694  0.00
Ge: 0.0000 0.6450 0.3550  -0.07
Mn: 0.5000 0.1489 0.3640  2.28
Mn: 0.5000 0.6360 0.8511  2.28
Mn: 0.0000 0.1676 0.8324  -1.81

## Properties
- Volume: 10.6 Å³/atom
- E above lowest polymorph: 139 meV/atom
- Density: 7.47 g/cm3
- Symmetry: Amm2, No. 38